A plane-wave DFT calculation with PBE-GGA was carried out for crystalline Zn3Co4 at its relaxed geometry.

Cell and atoms, written as POSCAR:
```
Zn3Co4
1.0
2.3576 -4.0835 0.0000
2.3576 4.0835 0.0000
0.0000 0.0000 4.5157
Zn Co
3 4
direct
0.0000 0.5000 0.0000 Zn
0.5000 0.5000 0.0000 Zn
0.5000 0.0000 0.0000 Zn
0.0000 0.0000 0.2589 Co
0.0000 0.0000 0.7411 Co
0.6667 0.3333 0.5000 Co
0.3333 0.6667 0.5000 Co
```

Space group: No. 191
E_form, meV per atom: 230
Size of the total moment, μB/cell: 5.82